{
  "formula": "LiLaOs",
  "functional": "PBE",
  "state": "relaxed",
  "lattice_angstrom": [[4.462, 0.000, 0.000], [-2.231, 3.864, 0.000], [0.000, 0.000, 3.498]],
  "species": ["Li", "La", "Os"],
  "fractional_positions": [[0.000, 0.000, 0.000], [0.333, 0.667, 0.500], [0.667, 0.333, 0.000]],
  "delta_e_f_ev_per_atom": 0.250,
  "e_above_lowest_polymorph_mev_per_atom": 190.3,
  "spacegroup": "P-6m2 (187)",
  "dft_energy_ev_per_atom": -5.77
}